Record 1
## NbGeN (PBE)

Data for a relaxed NbGeN crystal.

N(E_F)	1.036	states/eV/f.u.
V	90.3	Å³/cell
energy relative to the lowest polymorph listed for this composition	0.086	eV per atom
size of the total moment	0.00	μB/f.u.
ΔE_f (raw)	-0.384	eV per atom

Structure (POSCAR):
```
NbGeN
1.0
5.4871 0.0000 0.0000
0.0000 2.8983 0.0000
-2.5953 0.0000 5.6769
Nb Ge N
2 2 2
Cartesian
0.0000 0.0000 0.0000 Nb
0.1777 0.0000 4.3792 Nb
1.0514 1.4491 2.1498 Ge
3.7210 1.4491 2.4558 Ge
-1.4512 1.4491 4.5467 N
1.3521 1.4491 5.3840 N
```

***

Record 2
## Cs6SeBr3 (PBE)

Data for a relaxed Cs6SeBr3 crystal.

N(E_F)	2.849	states/eV/f.u.
V	1162.6	Å³/cell
size of the total moment	0.00	μB/f.u.
ΔE_f (raw)	-1.322	eV per atom

Structure (POSCAR):
```
Cs6SeBr3
1.0
8.9683 0.0000 0.0000
0.0000 9.6270 0.0000
-8.3893 0.0000 13.4654
Cs Se Br
12 2 6
Cartesian
-1.2886 0.5971 3.2383 Cs
-5.4833 4.2164 9.9710 Cs
1.6578 6.7586 1.1545 Cs
-2.5369 7.6818 7.8871 Cs
2.7623 1.7944 1.0622 Cs
-1.4324 3.0190 7.7949 Cs
2.0114 6.6079 5.6705 Cs
-2.1833 7.8325 12.4032 Cs
3.1159 1.9451 5.5782 Cs
-1.0788 2.8684 12.3109 Cs
6.0623 5.4106 3.4943 Cs
1.8676 9.0299 10.2270 Cs
0.0000 0.0000 0.0000 Se
-4.1947 4.8135 6.7327 Se
-3.5519 0.9268 10.2030 Br
0.6427 3.8867 3.4703 Br
0.2895 0.0000 6.7327 Br
4.4842 4.8135 0.0000 Br
-0.0637 5.7403 9.9950 Br
4.1309 8.7001 3.2624 Br
```

***

Record 3
## CaTb2PrAs4 (PBE)

Data for a relaxed CaTb2PrAs4 crystal.

N(E_F)	4.653	states/eV/f.u.
energy of formation from the pure elements	-1.346	eV per atom
V	210.6	Å³/cell
size of the total moment	0.00	μB/f.u.

Structure (POSCAR):
```
CaTb2PrAs4
1.0
-2.9724 2.9724 5.9580
2.9724 -2.9724 5.9580
2.9724 2.9724 -5.9580
Ca Tb Pr As
1 2 1 4
Cartesian
0.0000 0.0000 0.0000 Ca
2.9724 0.0000 2.9790 Tb
0.0000 2.9724 2.9790 Tb
0.0000 0.0000 5.9580 Pr
2.9724 0.0000 0.0000 As
0.0000 0.0000 2.9903 As
0.0000 2.9724 0.0000 As
0.0000 0.0000 8.9256 As
```